{
  "formula": "PmTmMgIr",
  "functional": "PBE",
  "state": "relaxed",
  "dft_energy_ev_per_atom": -5.330,
  "sg": "No. 216",
  "delta_e_f_kj_per_mol_atoms": -40,
  "lattice": [[7.157, 0.000, 0.000], [0.000, 7.157, 0.000], [0.000, 0.000, 7.157]],
  "species": ["Pm", "Pm", "Pm", "Pm", "Tm", "Tm", "Tm", "Tm", "Mg", "Mg", "Mg", "Mg", "Ir", "Ir", "Ir", "Ir"],
  "fractional_positions": [[0.000, 0.000, 0.000], [0.000, 0.500, 0.500], [0.500, 0.000, 0.500], [0.500, 0.500, 0.000], [0.000, 0.000, 0.500], [0.000, 0.500, 0.000], [0.500, 0.000, 0.000], [0.500, 0.500, 0.500], [0.250, 0.250, 0.250], [0.250, 0.750, 0.750], [0.750, 0.250, 0.750], [0.750, 0.750, 0.250], [0.250, 0.250, 0.750], [0.250, 0.750, 0.250], [0.750, 0.250, 0.250], [0.750, 0.750, 0.750]]
}